PBE with a Hubbard U FeNiO2, relaxed; E = -5.341 eV/atom; V = 11.53 A^3/atom; crystal system = trigonal; energy relative to the lowest polymorph listed for this composition = 0.389 eV per atom; spin magnetization = 6.000 μB per formula unit; calculated density = 5.27 g/cm³
1.0
1.755 0.000 5.766
-0.877 1.520 5.766
-0.877 -1.520 5.766
Fe O Ni
1 2 1
direct
0.000 0.000 0.000
0.104 0.104 0.104
0.896 0.896 0.896
0.500 0.500 0.500